No. 1
In5SnPb, relaxed, DFT PBE; raw total energy = -2.99 eV per atom; ΔH_f (0 K) = 6.2 kJ/mol of atoms
1.0
4.634 0.000 0.000
0.000 4.634 0.000
0.000 0.000 9.563
In Sn Pb
5 1 1
Direct
0.000 0.000 0.000 In
0.000 0.500 0.273 In
0.000 0.500 0.727 In
0.500 0.000 0.273 In
0.500 0.000 0.727 In
0.500 0.500 0.500 Sn
0.500 0.500 0.000 Pb


No. 2
In4SnPb6, relaxed, DFT PBE; raw total energy = -3.28 eV per atom; ΔH_f (0 K) = 9.5 kJ/mol of atoms
1.0
-3.254 3.254 8.202
3.254 -3.254 8.202
3.254 3.254 -8.202
In Sn Pb
4 1 6
Direct
0.137 0.137 0.599 In
0.463 0.863 0.000 In
0.537 0.537 0.401 In
0.863 0.463 0.000 In
0.500 0.500 0.000 Sn
0.000 0.500 0.500 Pb
0.045 0.663 0.000 Pb
0.337 0.337 0.383 Pb
0.500 0.000 0.500 Pb
0.663 0.045 0.000 Pb
0.955 0.955 0.617 Pb


No. 3
InSn2Pb, relaxed, DFT PBE; raw total energy = -3.51 eV per atom; ΔH_f (0 K) = 9.5 kJ/mol of atoms; relative energy among the computed polymorphs = 0.24 eV/f.u.
1.0
2.332 1.346 6.696
-2.332 1.346 6.696
0.000 -2.693 6.696
In Sn Pb
1 2 1
Direct
0.000 0.000 0.000 In
0.592 0.592 0.592 Sn
0.750 0.750 0.750 Sn
0.172 0.172 0.172 Pb


No. 4
In4SnPb3, relaxed, DFT PBE; raw total energy = -3.24 eV per atom; ΔH_f (0 K) = 1.7 kJ/mol of atoms
1.0
9.941 -2.436 0.000
9.941 2.436 0.000
-1.185 0.000 4.797
In Sn Pb
4 1 3
Direct
0.128 0.128 0.127 In
0.250 0.250 0.751 In
0.750 0.750 0.249 In
0.872 0.872 0.873 In
0.000 0.000 0.500 Sn
0.373 0.373 0.373 Pb
0.500 0.500 0.000 Pb
0.627 0.627 0.627 Pb


No. 5
In3Sn2Pb7, relaxed, DFT PBE; raw total energy = -3.42 eV per atom; ΔH_f (0 K) = 9.5 kJ/mol of atoms
1.0
1.775 -19.738 0.000
1.775 19.738 0.000
0.000 0.000 5.597
In Sn Pb
3 2 7
Direct
0.000 0.000 0.000 In
0.171 0.829 0.000 In
0.829 0.171 0.000 In
0.355 0.645 0.500 Sn
0.645 0.355 0.500 Sn
0.072 0.928 0.500 Pb
0.213 0.787 0.500 Pb
0.405 0.595 0.000 Pb
0.500 0.500 0.500 Pb
0.595 0.405 0.000 Pb
0.787 0.213 0.500 Pb
0.928 0.072 0.500 Pb


No. 6
In4SnPb, relaxed, DFT PBE; raw total energy = -3.02 eV per atom; ΔH_f (0 K) = 9.0 kJ/mol of atoms; relative energy among the computed polymorphs = 0.46 eV/f.u.
1.0
3.618 -3.618 0.000
3.618 3.618 0.000
-0.010 0.000 7.470
In Sn Pb
4 1 1
Direct
0.000 0.500 0.242 In
0.000 0.500 0.758 In
0.500 0.000 0.242 In
0.500 0.000 0.758 In
0.000 0.000 0.000 Sn
0.500 0.500 0.500 Pb